Entry from Alexandria: an optimized crystal structure of KCa3Rh (PBE).

```
10
Lattice="10.786 -2.481 0.000 10.786 2.481 0.000 -1.411 0.000 7.001" Properties=species:S:1:pos:R:3 pbc="T T T"
K 1.330 0.000 2.700
K 18.831 0.000 4.301
Ca 2.713 0.000 6.733
Ca 5.163 0.000 4.571
Ca 8.979 0.000 1.378
Ca 11.182 0.000 5.623
Ca 14.998 0.000 2.430
Ca 17.448 0.000 0.268
Rh 6.112 0.000 1.814
Rh 14.049 0.000 5.187
```

energy relative to the lowest polymorph listed for this composition	135.9	meV/atom
M_tot	0.00	μB/cell